No. 1
Tm2Zn3 PBE optimized geometry; ΔE_f = -339.6 meV per atom; crystal system = orthorhombic; volume = 208 Å³ per cell
1.0
1.763 -13.248 0.000
1.763 13.248 0.000
0.000 0.000 4.442
Tm Zn
4 6
Direct
0.073 0.927 0.750 Tm
0.210 0.790 0.250 Tm
0.790 0.210 0.750 Tm
0.927 0.073 0.250 Tm
0.328 0.672 0.250 Zn
0.381 0.619 0.750 Zn
0.477 0.523 0.750 Zn
0.523 0.477 0.250 Zn
0.619 0.381 0.250 Zn
0.672 0.328 0.750 Zn

No. 2
Tm3Zn PBE optimized geometry; ΔE_f = -29.3 meV per atom; crystal system = cubic; volume = 103 Å³ per cell
1.0
4.681 0.000 0.000
0.000 4.681 0.000
0.000 0.000 4.681
Tm Zn
3 1
Direct
0.000 0.000 0.500 Tm
0.000 0.500 0.000 Tm
0.500 0.000 0.000 Tm
0.500 0.500 0.500 Zn

No. 3
TmZn11 PBE optimized geometry; ΔE_f = -152.9 meV per atom; crystal system = tetragonal; volume = 378 Å³ per cell
1.0
-5.267 5.267 3.408
5.267 -5.267 3.408
5.267 5.267 -3.408
Tm Zn
2 22
Direct
0.375 0.625 0.750 Tm
0.625 0.375 0.250 Tm
0.000 0.000 0.000 Zn
0.000 0.000 0.500 Zn
0.000 0.500 0.000 Zn
0.125 0.875 0.250 Zn
0.129 0.553 0.333 Zn
0.129 0.796 0.576 Zn
0.204 0.280 0.333 Zn
0.204 0.871 0.924 Zn
0.280 0.204 0.833 Zn
0.280 0.447 0.076 Zn
0.447 0.280 0.576 Zn
0.447 0.871 0.167 Zn
0.500 0.000 0.500 Zn
0.553 0.129 0.833 Zn
0.553 0.720 0.424 Zn
0.720 0.553 0.924 Zn
0.720 0.796 0.167 Zn
0.796 0.129 0.076 Zn
0.796 0.720 0.667 Zn
0.871 0.204 0.424 Zn
0.871 0.447 0.667 Zn
0.875 0.125 0.750 Zn

- Which value of volume does entry 2 give?
  103 Å³ per cell

What did the third record say?
TmZn11 PBE optimized geometry; ΔE_f = -152.9 meV per atom; crystal system = tetragonal; volume = 378 Å³ per cell
1.0
-5.267 5.267 3.408
5.267 -5.267 3.408
5.267 5.267 -3.408
Tm Zn
2 22
Direct
0.375 0.625 0.750 Tm
0.625 0.375 0.250 Tm
0.000 0.000 0.000 Zn
0.000 0.000 0.500 Zn
0.000 0.500 0.000 Zn
0.125 0.875 0.250 Zn
0.129 0.553 0.333 Zn
0.129 0.796 0.576 Zn
0.204 0.280 0.333 Zn
0.204 0.871 0.924 Zn
0.280 0.204 0.833 Zn
0.280 0.447 0.076 Zn
0.447 0.280 0.576 Zn
0.447 0.871 0.167 Zn
0.500 0.000 0.500 Zn
0.553 0.129 0.833 Zn
0.553 0.720 0.424 Zn
0.720 0.553 0.924 Zn
0.720 0.796 0.167 Zn
0.796 0.129 0.076 Zn
0.796 0.720 0.667 Zn
0.871 0.204 0.424 Zn
0.871 0.447 0.667 Zn
0.875 0.125 0.750 Zn

- What is the volume in the first record?
  208 Å³ per cell

- The lowest ΔE_f belongs to which entry?
  Tm2Zn3